No. 1
BaAl: relaxed, GGA-PBE.

Structure (CIF):
```
data_BaAl
_cell_length_a 6.6481
_cell_length_b 6.6481
_cell_length_c 6.6481
_cell_angle_alpha 90.00
_cell_angle_beta 90.00
_cell_angle_gamma 90.00
_space_group_name_H-M_alt 'P 1'
_space_group_IT_number 1
_space_group_name_Hall 'P 1'
loop_
_atom_site_label
_atom_site_fract_x
_atom_site_fract_y
_atom_site_fract_z
Ba1 0.0753 0.0753 0.0753
Ba2 0.4247 0.9247 0.5753
Ba3 0.5753 0.4247 0.9247
Ba4 0.9247 0.5753 0.4247
Al1 0.0938 0.5938 0.9062
Al2 0.4062 0.4062 0.4062
Al3 0.5938 0.9062 0.0938
Al4 0.9062 0.0938 0.5938
```

VASP energy   -2.694 eV/atom
Symmetry   P2_13
N(E_F)   6.3 states/eV per cell
Volume   36.7 Å³/atom



No. 2
Ba3Al: relaxed, GGA-PBE.

Structure (CIF):
```
data_Ba3Al
_cell_length_a 7.0485
_cell_length_b 7.0485
_cell_length_c 7.0485
_cell_angle_alpha 90.00
_cell_angle_beta 90.00
_cell_angle_gamma 90.00
_space_group_name_H-M_alt 'P 1'
_space_group_IT_number 1
_space_group_name_Hall 'P 1'
loop_
_atom_site_label
_atom_site_fract_x
_atom_site_fract_y
_atom_site_fract_z
Ba1 0.0000 0.2500 0.5000
Ba2 0.0000 0.7500 0.5000
Ba3 0.2500 0.5000 0.0000
Ba4 0.5000 0.0000 0.2500
Ba5 0.5000 0.0000 0.7500
Ba6 0.7500 0.5000 0.0000
Al1 0.0000 0.0000 0.0000
Al2 0.5000 0.5000 0.5000
```

VASP energy   -2.261 eV/atom
Symmetry   Pm-3n
N(E_F)   8.7 states/eV per cell
Volume   43.8 Å³/atom



No. 3
Ba3Al: relaxed, GGA-PBE.

Structure (CIF):
```
data_Ba3Al
_cell_length_a 5.6098
_cell_length_b 5.6098
_cell_length_c 5.6000
_cell_angle_alpha 90.00
_cell_angle_beta 90.00
_cell_angle_gamma 90.00
_space_group_name_H-M_alt 'P 1'
_space_group_IT_number 1
_space_group_name_Hall 'P 1'
loop_
_atom_site_label
_atom_site_fract_x
_atom_site_fract_y
_atom_site_fract_z
Ba1 0.0000 0.0000 0.0000
Ba2 0.0000 0.5000 0.4989
Ba3 0.5000 0.0000 0.5011
Al1 0.5000 0.5000 0.0000
```

VASP energy   -2.298 eV/atom
Symmetry   P-4m2
N(E_F)   6.7 states/eV per cell
Volume   44.1 Å³/atom



No. 4
Ba3Al2: relaxed, GGA-PBE.

Structure (CIF):
```
data_Ba3Al2
_cell_length_a 4.3335
_cell_length_b 4.3335
_cell_length_c 42.1644
_cell_angle_alpha 90.00
_cell_angle_beta 90.00
_cell_angle_gamma 120.00
_space_group_name_H-M_alt 'P 1'
_space_group_IT_number 1
_space_group_name_Hall 'P 1'
loop_
_atom_site_label
_atom_site_fract_x
_atom_site_fract_y
_atom_site_fract_z
Ba1 0.0000 0.0000 0.0000
Ba2 0.0000 0.0000 0.2153
Ba3 0.0000 0.0000 0.7847
Ba4 0.3333 0.6667 0.4514
Ba5 0.3333 0.6667 0.6667
Ba6 0.3333 0.6667 0.8820
Ba7 0.6667 0.3333 0.1180
Ba8 0.6667 0.3333 0.3333
Ba9 0.6667 0.3333 0.5486
Al1 0.0000 0.0000 0.3945
Al2 0.0000 0.0000 0.6055
Al3 0.3333 0.6667 0.0612
Al4 0.3333 0.6667 0.2721
Al5 0.6667 0.3333 0.7279
Al6 0.6667 0.3333 0.9388
```

VASP energy   -2.473 eV/atom
Symmetry   R-3m
N(E_F)   26.4 states/eV per cell
Volume   45.7 Å³/atom



No. 5
Ba3Al: relaxed, GGA-PBE.

Structure (CIF):
```
data_Ba3Al
_cell_length_a 4.2959
_cell_length_b 6.3471
_cell_length_c 14.2195
_cell_angle_alpha 90.00
_cell_angle_beta 90.00
_cell_angle_gamma 90.00
_space_group_name_H-M_alt 'P 1'
_space_group_IT_number 1
_space_group_name_Hall 'P 1'
loop_
_atom_site_label
_atom_site_fract_x
_atom_site_fract_y
_atom_site_fract_z
Ba1 0.0000 0.0000 0.0000
Ba2 0.0000 0.5000 0.1909
Ba3 0.0000 0.5000 0.8091
Ba4 0.5000 0.0000 0.3091
Ba5 0.5000 0.0000 0.6909
Ba6 0.5000 0.5000 0.5000
Al1 0.0000 0.0000 0.5000
Al2 0.5000 0.5000 0.0000
```

VASP energy   -2.373 eV/atom
Symmetry   Immm
N(E_F)   10.0 states/eV per cell
Volume   48.5 Å³/atom



No. 6
BaAl: relaxed, GGA-PBE.

Structure (CIF):
```
data_BaAl
_cell_length_a 4.0906
_cell_length_b 4.0906
_cell_length_c 5.3443
_cell_angle_alpha 90.00
_cell_angle_beta 90.00
_cell_angle_gamma 120.00
_space_group_name_H-M_alt 'P 1'
_space_group_IT_number 1
_space_group_name_Hall 'P 1'
loop_
_atom_site_label
_atom_site_fract_x
_atom_site_fract_y
_atom_site_fract_z
Ba1 0.0000 0.0000 0.0000
Al1 0.3333 0.6667 0.5000
```

VASP energy   -2.554 eV/atom
Symmetry   P-6m2
N(E_F)   3.2 states/eV per cell
Volume   38.7 Å³/atom



These records have formation enthalpy at 0 K values of 0.138 0.117 0.079 0.177 0.005 0.279 eV/atom, in the order they appear.